Below is crystalline LaSm2Er at its relaxed geometry, with properties calculated at the PBE-GGA level.

a b c (Å): 12.098 3.633 6.238
angles (deg): 90.00 99.92 90.00
Space group C2/m (No. 12)
Asymmetric unit:
1 La 0.000 0.000 0.000 [2 per cell]
2 Sm 0.248 0.000 0.748 [4 per cell]
3 Er 0.000 0.500 0.500 [2 per cell]

Output
- Energy of formation from the pure elements: 0.023 eV/atom
- Density of states at the Fermi level: 5.85 states/eV/f.u.
- Excess energy over the best structure of this formula in the dataset: 0 meV/atom
- M_tot: 0.00 μB/f.u.